DyCuNi5: optimized geometry, PBE-GGA.

Lattice parameters (Å, degrees): 7.814 4.817 9.884 90.00 90.00 90.00
Atoms (fractional coordinates):
Dy 0.241 0.250 0.060
Dy 0.259 0.750 0.560
Dy 0.741 0.250 0.440
Dy 0.759 0.750 0.940
Cu 0.142 0.750 0.855
Cu 0.358 0.250 0.355
Cu 0.642 0.750 0.645
Cu 0.858 0.250 0.145
Ni 0.059 0.750 0.097
Ni 0.068 0.005 0.310
Ni 0.068 0.495 0.310
Ni 0.101 0.250 0.519
Ni 0.184 0.250 0.754
Ni 0.316 0.750 0.254
Ni 0.399 0.750 0.019
Ni 0.432 0.505 0.810
Ni 0.432 0.995 0.810
Ni 0.441 0.250 0.597
Ni 0.559 0.750 0.403
Ni 0.568 0.005 0.190
Ni 0.568 0.495 0.190
Ni 0.601 0.250 0.981
Ni 0.684 0.250 0.746
Ni 0.816 0.750 0.246
Ni 0.899 0.750 0.481
Ni 0.932 0.505 0.690
Ni 0.932 0.995 0.690
Ni 0.941 0.250 0.903

Values from the calculation:
The value obtained for the density is 9.28 Mg/m³. The calculation puts the calculated total energy at -5.594 eV per atom. As for the space group: Pnma. The formation energy is -0.22 eV per atom.

=====

Dy2CuNi3: optimized geometry, PBE-GGA.

Lattice parameters (Å, degrees): 5.782 5.782 5.782 135.67 127.69 70.93
Atoms (fractional coordinates):
Dy 0.189 0.189 0.000
Dy 0.811 0.811 0.000
Cu 0.500 0.500 0.000
Ni 0.000 0.500 0.500
Ni 0.378 0.878 0.500
Ni 0.622 0.122 0.500

Values from the calculation:
The value obtained for the density is 8.95 Mg/m³. The calculation puts the calculated total energy at -5.200 eV per atom. Its energy above the most stable polymorph in this dataset is 165 kJ/mol of formula units. As for the space group: Immm. The formation energy is -0.09 eV per atom.

=====

Dy3Cu2Ni3: optimized geometry, PBE-GGA.

Lattice parameters (Å, degrees): 7.157 14.902 5.368 90.00 90.00 90.00
Atoms (fractional coordinates):
Dy 0.031 0.103 0.136
Dy 0.031 0.397 0.136
Dy 0.170 0.250 0.617
Dy 0.330 0.750 0.117
Dy 0.469 0.603 0.636
Dy 0.469 0.897 0.636
Dy 0.531 0.103 0.364
Dy 0.531 0.397 0.364
Dy 0.670 0.250 0.883
Dy 0.830 0.750 0.383
Dy 0.969 0.603 0.864
Dy 0.969 0.897 0.864
Cu 0.120 0.610 0.366
Cu 0.120 0.890 0.366
Cu 0.380 0.110 0.866
Cu 0.380 0.390 0.866
Cu 0.620 0.610 0.134
Cu 0.620 0.890 0.134
Cu 0.880 0.110 0.634
Cu 0.880 0.390 0.634
Ni 0.177 0.031 0.586
Ni 0.177 0.469 0.586
Ni 0.186 0.750 0.619
Ni 0.314 0.250 0.119
Ni 0.323 0.531 0.086
Ni 0.323 0.969 0.086
Ni 0.677 0.031 0.914
Ni 0.677 0.469 0.914
Ni 0.686 0.750 0.881
Ni 0.814 0.250 0.381
Ni 0.823 0.531 0.414
Ni 0.823 0.969 0.414

Values from the calculation:
The value obtained for the density is 9.17 Mg/m³. The calculation puts the calculated total energy at -5.261 eV per atom. Its energy above the most stable polymorph in this dataset is 14 kJ/mol of formula units. As for the space group: Pnma. The formation energy is -0.34 eV per atom.

=====

DyCu6Ni4: optimized geometry, PBE-GGA.

Lattice parameters (Å, degrees): 6.113 6.113 6.113 120.94 120.94 88.38
Atoms (fractional coordinates):
Dy 0.000 0.000 0.000
Cu 0.000 0.500 0.500
Cu 0.254 0.557 0.000
Cu 0.443 0.443 0.697
Cu 0.500 0.000 0.500
Cu 0.557 0.254 0.000
Cu 0.746 0.746 0.303
Ni 0.102 0.102 0.556
Ni 0.455 0.898 0.000
Ni 0.545 0.545 0.444
Ni 0.898 0.455 0.000

Values from the calculation:
The value obtained for the density is 8.12 Mg/m³. The calculation puts the calculated total energy at -4.544 eV per atom. As for the space group: I-42m. The formation energy is 0.21 eV per atom.